1.
# CsTcH3F, optimized geometry, DFT PBE
# - density of states at the Fermi level (states/eV per atom) = 0.51
# - total energy (eV per atom) = -4.193
# - offset from the most stable computed form (kcal/mol of atoms) = 2.93
data_CsTcH3F
_chemical_formula_sum 'Cs1 Tc1 H3 F1'
_space_group_name_H-M_alt 'P 1 m 1'
_space_group_IT_number 6
_space_group_name_Hall 'P -2y'
_cell_length_a 3.2592
_cell_length_b 4.4239
_cell_length_c 5.5719
_cell_angle_alpha 90.00
_cell_angle_beta 90.09
_cell_angle_gamma 90.00
loop_
_atom_site_label
_atom_site_fract_x
_atom_site_fract_y
_atom_site_fract_z
Cs1 0.0000 0.0000 0.0000
Tc1 0.5004 0.5000 0.4820
H1 0.0001 0.5000 0.3347
H2 0.0010 0.5000 0.6656
H3 0.4998 0.5000 0.1865
F1 0.5002 0.0000 0.5069

=====

2.
# CsTcH3F, optimized geometry, DFT PBE
# - density of states at the Fermi level (states/eV per atom) = 0.49
# - total energy (eV per atom) = -4.179
# - offset from the most stable computed form (kcal/mol of atoms) = 3.25
data_CsTcH3F
_chemical_formula_sum 'Cs2 Tc2 H6 F2'
_space_group_name_H-M_alt 'C 1 m 1'
_space_group_IT_number 8
_space_group_name_Hall 'C -2y'
_cell_length_a 12.5635
_cell_length_b 3.1431
_cell_length_c 4.5819
_cell_angle_alpha 90.00
_cell_angle_beta 93.64
_cell_angle_gamma 90.00
loop_
_atom_site_label
_atom_site_fract_x
_atom_site_fract_y
_atom_site_fract_z
Cs1 0.0000 0.0000 0.0000
Tc1 0.2577 0.0000 0.5580
H1 0.1909 0.5000 0.3939
H2 0.2362 0.0000 0.9056
H3 0.2867 0.5000 0.7418
F1 0.4168 0.0000 0.4788